(A)
TaCd2Ir | PBE | relaxed

Computed properties:
Total magnetization (μB/f.u.): 0.00
Space group: Cmmm
N(E_F) (states/eV/cell): 3.3

Lattice parameters (Å, degrees): 2.8591 2.8591 9.7348 90.00 90.00 113.76
Last column: nearest neighbours and their distance in Å.
Atoms (fractional coordinates):
Cd1 0.0000 0.0000 0.0123  2 Ir 2.79, 6 Cd 2.86-3.12, 2 Ta 2.99
Cd2 0.0000 0.0000 0.4877  2 Ir 2.79, 6 Cd 2.86-3.12, 2 Ta 2.99
Ir1 0.5000 0.5000 0.2500  4 Cd 2.79, 6 Ir 2.86-3.12
Ta1 0.5000 0.5000 0.7500  6 Ta 2.86-3.12, 4 Cd 2.99

(B)
TaCd2Ir | PBE | relaxed

Computed properties:
Total magnetization (μB/f.u.): 0.00
Space group: P4/mmm
N(E_F) (states/eV/cell): 4.5

Lattice parameters (Å, degrees): 4.8639 4.8639 3.0603 90.00 90.00 90.00
Last column: nearest neighbours and their distance in Å.
Atoms (fractional coordinates):
Cd1 0.0000 0.0000 0.0000  4 Ta 2.87, 4 Ir 2.87, 2 Cd 3.06
Cd2 0.5000 0.5000 0.0000  4 Ta 2.87, 4 Ir 2.87, 2 Cd 3.06
Ir1 0.5000 0.0000 0.5000  8 Cd 2.87, 2 Ir 3.06
Ta1 0.0000 0.5000 0.5000  8 Cd 2.87, 2 Ta 3.06

(C)
TaCd2Ir | PBE | relaxed

Computed properties:
Total magnetization (μB/f.u.): 0.00
Space group: Pmmm
N(E_F) (states/eV/cell): 2.4

Lattice parameters (Å, degrees): 2.9314 4.5072 5.4907 90.00 90.00 90.00
Last column: nearest neighbours and their distance in Å.
Atoms (fractional coordinates):
Cd1 0.0000 0.0000 0.0050  4 Cd 2.69-2.93, 4 Ir 3.01
Cd2 0.0000 0.0000 0.4950  4 Cd 2.69-2.93, 4 Ir 3.01
Ir1 0.5000 0.5000 0.2500  2 Ta 2.75, 2 Ir 2.93, 8 Cd 3.01
Ta1 0.5000 0.5000 0.7500  2 Ir 2.75, 2 Ta 2.93, 8 Cd 3.03

It is (C) that is the most stable of them.

(A)
TaCd2Ir | PBE | relaxed

Computed properties:
Total magnetization (μB/f.u.): 0.00
Space group: I-42d
N(E_F) (states/eV/cell): 8.6

Lattice parameters (Å, degrees): 7.7741 7.7741 6.1041 50.45 50.45 90.00
Last column: nearest neighbours and their distance in Å.
Atoms (fractional coordinates):
Cd1 0.6466 0.1250 0.2500  2 Cd 2.67, 2 Ir 2.72, 2 Ta 2.95
Cd2 0.1034 0.6250 0.2500  2 Cd 2.67, 2 Ir 2.72, 2 Ta 2.95
Cd3 0.3750 0.3534 0.7500  2 Cd 2.67, 2 Ir 2.72, 2 Ta 2.95
Cd4 0.8750 0.8966 0.7500  2 Cd 2.67, 2 Ir 2.72, 2 Ta 2.95
Ir1 0.0000 0.0000 0.0000  2 Ta 2.65, 4 Cd 2.72
Ir2 0.7500 0.2500 0.5000  2 Ta 2.65, 4 Cd 2.72
Ta1 0.5000 0.5000 0.0000  2 Ir 2.65, 4 Cd 2.95
Ta2 0.2500 0.7500 0.5000  2 Ir 2.65, 4 Cd 2.95

(B)
TaCd2Ir | PBE | relaxed

Computed properties:
Total magnetization (μB/f.u.): 0.00
Space group: Cm
N(E_F) (states/eV/cell): 2.6

Lattice parameters (Å, degrees): 4.8744 4.8744 5.4732 82.43 82.43 34.70
Last column: nearest neighbours and their distance in Å.
Atoms (fractional coordinates):
Cd1 0.9999 0.9999 0.9907  5 Cd 2.74-2.92, 2 Ir 2.95, 3 Ta 2.97-3.06
Cd2 0.7562 0.7562 0.7609  5 Cd 2.74-2.92, 2 Ir 2.98, 2 Ta 2.99
Ir1 0.4994 0.4994 0.4608  3 Ta 2.67-2.76, 2 Ir 2.91, 4 Cd 2.95-2.98
Ta1 0.2443 0.2443 0.2877  3 Ir 2.67-2.76, 2 Ta 2.91, 3 Cd 2.97-2.99

(C)
TaCd2Ir | PBE | relaxed

Computed properties:
Total magnetization (μB/f.u.): 0.00
Space group: Pmmm
N(E_F) (states/eV/cell): 1.5

Lattice parameters (Å, degrees): 3.0846 4.6829 5.0235 90.00 90.00 90.00
Last column: nearest neighbours and their distance in Å.
Atoms (fractional coordinates):
Cd1 0.0000 0.0000 0.0000  6 Cd 2.80-3.08, 4 Ir 2.95
Cd2 0.5000 0.5000 0.0000  6 Cd 2.80-3.08, 4 Ta 2.95
Ir1 0.5000 0.0000 0.5000  4 Ta 2.80, 4 Cd 2.95, 2 Ir 3.08
Ta1 0.0000 0.5000 0.5000  4 Ir 2.80, 4 Cd 2.95, 2 Ta 3.08

It is (B) that is the most stable of them.

(A)
TaCd2Ir | PBE | relaxed

Computed properties:
Total magnetization (μB/f.u.): 0.00
Space group: Fm-3m
N(E_F) (states/eV/cell): 1.9

Lattice parameters (Å, degrees): 4.6457 4.6457 4.6457 60.00 60.00 60.00
Last column: nearest neighbours and their distance in Å.
Atoms (fractional coordinates):
Cd1 0.2500 0.2500 0.2500  4 Ta 2.84, 4 Ir 2.84
Cd2 0.7500 0.7500 0.7500  4 Ta 2.84, 4 Ir 2.84
Ir1 0.5000 0.5000 0.5000  8 Cd 2.84
Ta1 0.0000 0.0000 0.0000  8 Cd 2.84

(B)
TaCd2Ir | PBE | relaxed

Computed properties:
Total magnetization (μB/f.u.): 0.00
Space group: P4/mmm
N(E_F) (states/eV/cell): 4.5

Lattice parameters (Å, degrees): 2.8905 2.8905 8.6735 90.00 90.00 90.00
Last column: nearest neighbours and their distance in Å.
Atoms (fractional coordinates):
Cd1 0.0000 0.0000 0.0174  4 Ir 2.87, 4 Cd 2.89, 4 Ta 3.09
Cd2 0.0000 0.0000 0.4826  4 Ir 2.87, 4 Cd 2.89, 4 Ta 3.09
Ir1 0.5000 0.5000 0.2500  8 Cd 2.87, 4 Ir 2.89
Ta1 0.5000 0.5000 0.7500  4 Ta 2.89, 8 Cd 3.09

It is (B) that is the most stable of them.

(A)
TaCd2Ir | PBE | relaxed

Computed properties:
Total magnetization (μB/f.u.): 0.00
Space group: Cmmm
N(E_F) (states/eV/cell): 3.4

Lattice parameters (Å, degrees): 5.3686 5.3686 2.8961 90.00 90.00 119.05
Last column: nearest neighbours and their distance in Å.
Atoms (fractional coordinates):
Cd1 0.0000 0.0000 0.0000  4 Cd 2.72-2.90
Cd2 0.5000 0.5000 0.0000  4 Cd 2.72-2.90
Ir1 0.5000 0.0000 0.5000  2 Ta 2.72, 2 Ir 2.90
Ta1 0.0000 0.5000 0.5000  2 Ir 2.72, 2 Ta 2.90

(B)
TaCd2Ir | PBE | relaxed

Computed properties:
Total magnetization (μB/f.u.): 0.00
Space group: R3m
N(E_F) (states/eV/cell): 2.6

Lattice parameters (Å, degrees): 10.1649 10.1649 10.1649 16.62 16.62 16.62
Last column: nearest neighbours and their distance in Å.
Atoms (fractional coordinates):
Cd1 0.0044 0.0044 0.0044  6 Cd 2.94, 3 Ta 3.13
Cd2 0.2425 0.2425 0.2425  6 Cd 2.94, 3 Ir 2.97
Ir1 0.4946 0.4946 0.4946  3 Ta 2.69, 6 Ir 2.94, 3 Cd 2.97
Ta1 0.7585 0.7585 0.7585  3 Ir 2.69, 6 Ta 2.94

(C)
TaCd2Ir | PBE | relaxed

Computed properties:
Total magnetization (μB/f.u.): 0.00
Space group: I4/mmm
N(E_F) (states/eV/cell): 4.0

Lattice parameters (Å, degrees): 5.4813 5.4813 5.4813 137.93 137.93 61.01
Last column: nearest neighbours and their distance in Å.
Atoms (fractional coordinates):
Cd1 0.0000 0.0000 0.0000  4 Cd 2.78, 4 Ta 3.07, 4 Ir 3.07
Cd2 0.5000 0.5000 0.0000  4 Cd 2.78, 4 Ta 3.07, 4 Ir 3.07
Ir1 0.2500 0.7500 0.5000  4 Ta 2.78, 8 Cd 3.07
Ta1 0.7500 0.2500 0.5000  4 Ir 2.78, 8 Cd 3.07

(D)
TaCd2Ir | PBE | relaxed

Computed properties:
Total magnetization (μB/f.u.): 0.00
Space group: I-4m2
N(E_F) (states/eV/cell): 0.4

Lattice parameters (Å, degrees): 4.7344 4.7343 4.7308 122.96 123.00 84.93
Last column: nearest neighbours and their distance in Å.
Atoms (fractional coordinates):
Ir1 0.5000 0.4997 0.0000  4 Ta 2.85-2.86, 6 Cd 2.85-3.19
Ta1 0.7500 0.2503 0.5000  4 Ir 2.85-2.86, 6 Cd 2.86-3.19
Cd1 0.0000 0.0000 0.0000  4 Cd 2.85-2.86, 4 Ta 2.86, 3 Ir 3.19-3.20
Cd2 0.2500 0.7500 0.5000  4 Cd 2.85-2.86, 4 Ir 2.85-2.86, 3 Ta 3.19-3.20

It is (B) that is the most stable of them.

(A)
TaCd2Ir | PBE | relaxed

Computed properties:
Total magnetization (μB/f.u.): 0.00
Space group: C2/m
N(E_F) (states/eV/cell): 2.5

Lattice parameters (Å, degrees): 5.3146 5.3146 4.8113 78.39 78.39 32.95
Last column: nearest neighbours and their distance in Å.
Atoms (fractional coordinates):
Cd1 0.0068 0.0068 0.9947  6 Cd 2.82-3.01, 3 Ir 2.93-3.09, 3 Ta 2.99-3.05
Cd2 0.4932 0.4932 0.5053  6 Cd 2.82-3.01, 3 Ir 2.93-3.09, 3 Ta 2.99-3.05
Ir1 0.7500 0.7500 0.7500  4 Ta 2.84, 6 Cd 2.93-3.09, 2 Ir 3.01
Ta1 0.2500 0.2500 0.2500  4 Ir 2.84, 6 Cd 2.99-3.05, 2 Ta 3.01

(B)
TaCd2Ir | PBE | relaxed

Computed properties:
Total magnetization (μB/f.u.): 0.34
Space group: R-3m
N(E_F) (states/eV/cell): 5.4

Lattice parameters (Å, degrees): 9.8567 9.8567 9.8567 17.13 17.13 17.13
Last column: nearest neighbours and their distance in Å.
Atoms (fractional coordinates):
Cd1 0.9952 0.9952 0.9952  3 Ir 2.85, 6 Cd 2.94, 3 Ta 3.08
Cd2 0.5048 0.5048 0.5048  3 Ir 2.85, 6 Cd 2.94, 3 Ta 3.08
Ir1 0.2500 0.2500 0.2500  6 Cd 2.85, 6 Ir 2.94
Ta1 0.7500 0.7500 0.7500  6 Ta 2.94, 6 Cd 3.08

(C)
TaCd2Ir | PBE | relaxed

Computed properties:
Total magnetization (μB/f.u.): 0.00
Space group: Pm
N(E_F) (states/eV/cell): 1.7

Lattice parameters (Å, degrees): 3.0862 3.0856 8.5081 68.59 90.00 90.00
Last column: nearest neighbours and their distance in Å.
Atoms (fractional coordinates):
Cd1 0.0000 0.0110 0.9872  4 Ta 3.06, 8 Cd 3.09-3.14
Cd2 0.5000 0.2305 0.2705  4 Ir 2.98, 8 Cd 3.09-3.14
Ir1 0.0000 0.4743 0.5265  4 Ta 2.65
Ta1 0.5000 0.7841 0.7158  4 Ir 2.65

It is (C) that is the most stable of them.

(A)
Ta2CdIr2 | PBE | relaxed

Computed properties:
Total magnetization (μB/f.u.): 0.00
Space group: P4/mbm
N(E_F) (states/eV/cell): 5.2

Lattice parameters (Å, degrees): 7.7800 7.7800 2.9171 90.00 90.00 90.00
Last column: nearest neighbours and their distance in Å.
Atoms (fractional coordinates):
Cd1 0.0000 0.0000 0.0000  2 Cd 2.92, 4 Ir 3.05, 8 Ta 3.26
Cd2 0.5000 0.5000 0.0000  2 Cd 2.92, 4 Ir 3.05, 8 Ta 3.26
Ir1 0.3692 0.8692 0.0000  6 Ta 2.71, 3 Ir 2.88-2.92
Ir2 0.8692 0.6308 0.0000  6 Ta 2.71, 3 Ir 2.88-2.92
Ir3 0.6308 0.1308 0.0000  6 Ta 2.71, 3 Ir 2.88-2.92
Ir4 0.1308 0.3692 0.0000  6 Ta 2.71, 3 Ir 2.88-2.92
Ta1 0.1618 0.6618 0.5000  6 Ir 2.71, 2 Ta 2.92
Ta2 0.6618 0.8382 0.5000  6 Ir 2.71, 2 Ta 2.92
Ta3 0.8382 0.3382 0.5000  6 Ir 2.71, 2 Ta 2.92
Ta4 0.3382 0.1618 0.5000  6 Ir 2.71, 2 Ta 2.92

(B)
Ta2CdIr2 | PBE | relaxed

Computed properties:
Total magnetization (μB/f.u.): 0.00
Space group: P4/mbm
N(E_F) (states/eV/cell): 7.3

Lattice parameters (Å, degrees): 7.9299 7.9299 2.8672 90.00 90.00 90.00
Last column: nearest neighbours and their distance in Å.
Atoms (fractional coordinates):
Cd1 0.0000 0.0000 0.0000  2 Cd 2.87, 4 Ta 3.02
Cd2 0.5000 0.5000 0.0000  2 Cd 2.87, 4 Ta 3.02
Ir1 0.1394 0.6394 0.5000  6 Ta 2.71-2.76, 2 Ir 2.87
Ir2 0.6394 0.8606 0.5000  6 Ta 2.71-2.76, 2 Ir 2.87
Ir3 0.8606 0.3606 0.5000  6 Ta 2.71-2.76, 2 Ir 2.87
Ir4 0.3606 0.1394 0.5000  6 Ta 2.71-2.76, 2 Ir 2.87
Ta1 0.3495 0.8495 0.0000  6 Ir 2.71-2.76, 2 Ta 2.87, 2 Cd 3.02
Ta2 0.8495 0.6505 0.0000  6 Ir 2.71-2.76, 2 Ta 2.87, 2 Cd 3.02
Ta3 0.6505 0.1505 0.0000  6 Ir 2.71-2.76, 2 Ta 2.87, 2 Cd 3.02
Ta4 0.1505 0.3495 0.0000  6 Ir 2.71-2.76, 2 Ta 2.87, 2 Cd 3.02

It is (A) that is the most stable of them.

(A)
Tb3CdIr | PBE | relaxed

Computed properties:
Total magnetization (μB/f.u.): 0.00
Space group: Fmmm
N(E_F) (states/eV/cell): 6.9

Lattice parameters (Å, degrees): 5.8412 5.8412 8.8642 101.55 101.54 113.12
Last column: nearest neighbours and their distance in Å.
Atoms (fractional coordinates):
Tb1 0.2997 0.7998 0.0995  4 Ir 3.03, 2 Tb 3.38-3.39
Tb2 0.7003 0.2002 0.9005  4 Ir 3.03, 2 Tb 3.38-3.39
Tb3 0.0772 0.2017 0.2789  2 Ir 2.87, 2 Cd 3.19
Tb4 0.9228 0.7983 0.7211  2 Ir 2.87, 2 Cd 3.19
Tb5 0.7016 0.5773 0.2789  2 Ir 2.87, 2 Cd 3.19
Tb6 0.2984 0.4227 0.7211  2 Ir 2.87, 2 Cd 3.19
Cd1 0.7100 0.2100 0.5000  1 Cd 2.70
Cd2 0.2900 0.7900 0.5000  1 Cd 2.70
Ir1 0.2500 0.2500 0.0000  8 Tb 2.87-3.03, 2 Ir 3.22
Ir2 0.7500 0.7500 0.0000  8 Tb 2.87-3.03, 2 Ir 3.22

(B)
Tb3CdIr | PBE | relaxed

Computed properties:
Total magnetization (μB/f.u.): 0.00
Space group: P-1
N(E_F) (states/eV/cell): 8.8

Lattice parameters (Å, degrees): 4.0419 7.7032 9.8886 105.10 78.35 105.24
Last column: nearest neighbours and their distance in Å.
Atoms (fractional coordinates):
Tb1 0.8244 0.2609 0.6079  2 Ir 2.78
Tb2 0.6510 0.3043 0.0027  3 Ir 2.78-2.95
Tb3 0.9211 0.0497 0.2099  1 Ir 2.75
Tb4 0.1756 0.7391 0.3921  2 Ir 2.78
Tb5 0.0789 0.9503 0.7901  1 Ir 2.75
Tb6 0.3490 0.6957 0.9973  3 Ir 2.78-2.95
Cd1 0.4874 0.6236 0.6464  1 Ir 2.99, 1 Cd 3.02, 5 Tb 3.23-3.32
Cd2 0.5126 0.3764 0.3536  1 Ir 2.99, 1 Cd 3.02, 5 Tb 3.23-3.32
Ir1 0.2569 0.3252 0.8092  6 Tb 2.75-2.95, 1 Cd 2.99
Ir2 0.7431 0.6748 0.1908  6 Tb 2.75-2.95, 1 Cd 2.99

It is (A) that is the most stable of them.

(A)
Cd2TcIr | PBE | relaxed

Computed properties:
Total magnetization (μB/f.u.): 0.25
Space group: C2/m
N(E_F) (states/eV/cell): 3.7

Lattice parameters (Å, degrees): 5.0086 5.0086 5.0152 80.71 80.71 33.14
Last column: nearest neighbours and their distance in Å.
Atoms (fractional coordinates):
Cd1 0.0018 0.0018 0.9988  6 Cd 2.86-2.89, 3 Ir 2.88-2.90, 3 Tc 2.88-2.91
Cd2 0.4982 0.4982 0.5012  6 Cd 2.86-2.89, 3 Ir 2.88-2.90, 3 Tc 2.88-2.91
Ir1 0.7500 0.7500 0.7500  2 Ir 2.86, 6 Cd 2.88-2.90, 4 Tc 2.89
Tc1 0.2500 0.2500 0.2500  2 Tc 2.86, 6 Cd 2.88-2.91, 4 Ir 2.89

(B)
Cd2TcIr | PBE | relaxed

Computed properties:
Total magnetization (μB/f.u.): 2.41
Space group: P4/mmm
N(E_F) (states/eV/cell): 2.5

Lattice parameters (Å, degrees): 4.0152 4.0152 4.3204 90.00 90.00 90.00
Last column: nearest neighbours and their distance in Å.
Atoms (fractional coordinates):
Cd1 0.0000 0.0000 0.0000  4 Cd 2.84, 4 Tc 2.95, 4 Ir 2.95
Cd2 0.5000 0.5000 0.0000  4 Cd 2.84, 4 Tc 2.95, 4 Ir 2.95
Ir1 0.5000 0.0000 0.5000  4 Tc 2.84, 8 Cd 2.95
Tc1 0.0000 0.5000 0.5000  4 Ir 2.84, 8 Cd 2.95

(C)
Cd2TcIr | PBE | relaxed

Computed properties:
Total magnetization (μB/f.u.): 0.00
Space group: Cmmm
N(E_F) (states/eV/cell): 3.6

Lattice parameters (Å, degrees): 2.8080 2.8080 9.4999 90.00 90.00 114.23
Last column: nearest neighbours and their distance in Å.
Atoms (fractional coordinates):
Cd1 0.0000 0.0000 0.0028  2 Ir 2.80, 6 Cd 2.81-3.05, 2 Tc 2.84
Cd2 0.0000 0.0000 0.4972  2 Ir 2.80, 6 Cd 2.81-3.05, 2 Tc 2.84
Ir1 0.5000 0.5000 0.2500  4 Cd 2.80, 6 Ir 2.81-3.05
Tc1 0.5000 0.5000 0.7500  6 Tc 2.81-3.05, 4 Cd 2.84

It is (A) that is the most stable of them.